[1]
DFT (PBE) results for a geometry-optimized LiNdInAu structure.

Summary:
VASP energy: -0.2783 Ry per atom

Structure (POSCAR):
```
LiNdInAu
1.0
0.7204 -2.8930 3.9552
-2.1301 -4.4660 0.2225
2.7699 -4.0872 -0.3929
Au In Li Nd
1 1 1 1
Direct
0.0000 0.0000 0.0000
0.7500 0.7500 0.7500
0.5000 0.5000 0.5000
0.2500 0.2500 0.2500
```

[2]
DFT (PBE) results for a geometry-optimized Li4In2NiAu structure.

Summary:
VASP energy: -0.2271 Ry per atom

Structure (POSCAR):
```
Li4In2NiAu
1.0
4.4772 0.0000 0.0000
0.0000 4.4772 0.0000
0.0000 0.0000 6.3691
Au In Li Ni
1 2 4 1
Direct
0.0000 0.0000 0.0000
0.0000 0.5000 0.2757
0.5000 0.0000 0.7243
0.5000 0.5000 0.0000
0.5000 0.0000 0.2541
0.0000 0.0000 0.5000
0.0000 0.5000 0.7459
0.5000 0.5000 0.5000
```

[3]
DFT (PBE) results for a geometry-optimized Li4InPbAu2 structure.

Summary:
VASP energy: -0.2219 Ry per atom

Structure (POSCAR):
```
Li4InPbAu2
1.0
4.6674 0.0000 0.0000
0.0000 4.6674 0.0000
0.0000 0.0000 6.5987
Au In Li Pb
2 1 4 1
Direct
0.5000 0.0000 0.2341
0.0000 0.5000 0.7659
0.0000 0.0000 0.0000
0.5000 0.5000 0.0000
0.0000 0.5000 0.2462
0.0000 0.0000 0.5000
0.5000 0.0000 0.7538
0.5000 0.5000 0.5000
```

[4]
DFT (PBE) results for a geometry-optimized Li4In2PdAu structure.

Summary:
VASP energy: -0.2337 Ry per atom

Structure (POSCAR):
```
Li4In2PdAu
1.0
-4.0898 1.7020 -1.0397
-1.2454 -4.0321 -1.7016
-2.2023 -1.7599 5.7820
Au In Li Pd
1 2 4 1
Direct
0.5000 0.5000 0.0000
0.5000 0.0000 0.2607
0.0000 0.5000 0.7393
0.0000 0.0000 0.0000
0.0000 0.5000 0.2514
0.5000 0.5000 0.5000
0.5000 0.0000 0.7486
0.0000 0.0000 0.5000
```

[5]
DFT (PBE) results for a geometry-optimized Li2In4PdAu structure.

Summary:
VASP energy: -0.2396 Ry per atom

Structure (POSCAR):
```
Li2In4PdAu
1.0
-2.8158 -6.4450 -4.3540
-0.5763 -2.7778 4.4846
-4.0415 -0.5297 3.3978
Au In Li Pd
1 4 2 1
Direct
0.0000 0.2765 0.2765
0.3118 0.1398 0.1398
0.6882 0.1398 0.1398
0.2019 0.8584 0.8584
0.7981 0.8584 0.8584
0.5000 0.4323 0.4323
0.0000 0.5703 0.5703
0.5000 0.7246 0.7246
```

[6]
DFT (PBE) results for a geometry-optimized Li2Sc2In2PdAu structure.

Summary:
VASP energy: -0.3252 Ry per atom

Structure (POSCAR):
```
Li2Sc2In2PdAu
1.0
4.6665 0.0000 0.0000
0.0000 4.6665 0.0000
0.0000 0.0000 6.6158
Au In Li Pd Sc
1 2 2 1 2
Direct
0.0000 0.0000 0.0000
0.5000 0.0000 0.2565
0.0000 0.5000 0.7435
0.5000 0.5000 0.0000
0.0000 0.0000 0.5000
0.5000 0.5000 0.5000
0.0000 0.5000 0.2551
0.5000 0.0000 0.7449
```

The highest VASP energy belongs to which entry? Li4InPbAu2

Repeat the fifth record exactly.
DFT (PBE) results for a geometry-optimized Li2In4PdAu structure.

Summary:
VASP energy: -0.2396 Ry per atom

Structure (POSCAR):
```
Li2In4PdAu
1.0
-2.8158 -6.4450 -4.3540
-0.5763 -2.7778 4.4846
-4.0415 -0.5297 3.3978
Au In Li Pd
1 4 2 1
Direct
0.0000 0.2765 0.2765
0.3118 0.1398 0.1398
0.6882 0.1398 0.1398
0.2019 0.8584 0.8584
0.7981 0.8584 0.8584
0.5000 0.4323 0.4323
0.0000 0.5703 0.5703
0.5000 0.7246 0.7246
```